Record 1
Here is an optimized crystal structure of Pu4BiPbC from Alexandria via LeMat-Bulk. Energies are from PBE.

Geometry as POSCAR:
```
Pu4BiPbC
1.0
-0.453 0.963 6.739
-5.079 -4.540 0.307
5.649 -6.466 -2.150
Pu Bi Pb C
8 2 2 2
Direct
0.903 0.250 0.806 Pu
0.405 0.750 0.810 Pu
0.097 0.750 0.194 Pu
0.595 0.250 0.190 Pu
0.500 0.500 0.500 Pu
0.000 0.000 0.500 Pu
0.500 0.000 0.500 Pu
0.000 0.500 0.500 Pu
0.105 0.250 0.211 Bi
0.895 0.750 0.789 Bi
0.607 0.750 0.215 Pb
0.393 0.250 0.785 Pb
0.251 0.750 0.502 C
0.749 0.250 0.498 C
```

## Properties
ΔE_f	-0.176	eV/atom
crystal system	orthorhombic
DFT total energy	-150.7	eV for the cell shown
DOS(E_F)	4.061	states/eV per atom

=====

Record 2
Here is an optimized crystal structure of ReBi2PbC from Alexandria via LeMat-Bulk. Energies are from PBE.

Geometry as POSCAR:
```
ReBi2PbC
1.0
-3.683 -1.052 3.018
3.014 -2.599 2.772
1.016 3.981 2.628
Pb Re C Bi
1 1 1 2
Direct
0.000 0.500 0.000 Pb
0.500 0.500 0.500 Re
0.000 0.000 0.000 C
0.000 0.000 0.500 Bi
0.500 0.000 0.000 Bi
```

## Properties
ΔE_f	1.697	eV/atom
crystal system	tetragonal
DFT total energy	-24.7	eV for the cell shown
DOS(E_F)	0.766	states/eV per atom

=====

Record 3
Here is an optimized crystal structure of Bi2RuPbC from Alexandria via LeMat-Bulk. Energies are from PBE.

Geometry as POSCAR:
```
Bi2RuPbC
1.0
4.858 0.000 0.000
0.000 4.828 0.000
0.000 0.000 4.858
Pb Ru C Bi
1 1 1 2
Direct
0.000 0.500 0.000 Pb
0.500 0.500 0.500 Ru
0.000 0.000 0.000 C
0.000 0.000 0.500 Bi
0.500 0.000 0.000 Bi
```

## Properties
ΔE_f	1.372	eV/atom
crystal system	tetragonal
DFT total energy	-23.1	eV for the cell shown
DOS(E_F)	0.794	states/eV per atom

=====

Record 4
Here is an optimized crystal structure of Sc2BiPbC from Alexandria via LeMat-Bulk. Energies are from PBE.

Geometry as POSCAR:
```
Sc2BiPbC
1.0
4.669 0.000 0.000
0.000 5.070 0.000
0.000 0.000 4.669
Pb Sc C Bi
1 2 1 1
Direct
0.000 0.500 0.000 Pb
0.000 0.000 0.500 Sc
0.500 0.000 0.000 Sc
0.000 0.000 0.000 C
0.500 0.500 0.500 Bi
```

## Properties
ΔE_f	-0.065	eV/atom
crystal system	tetragonal
DFT total energy	-29.8	eV for the cell shown
DOS(E_F)	0.655	states/eV per atom

=====

Record 5
Here is an optimized crystal structure of Sc4BiPbC from Alexandria via LeMat-Bulk. Energies are from PBE.

Geometry as POSCAR:
```
Sc4BiPbC
1.0
-4.750 -0.923 -4.172
-0.624 -6.020 2.042
-2.632 2.743 7.282
Sc Bi Pb C
8 2 2 2
Direct
0.901 0.250 0.802 Sc
0.399 0.750 0.797 Sc
0.099 0.750 0.198 Sc
0.601 0.250 0.203 Sc
0.500 0.500 0.500 Sc
0.000 0.000 0.500 Sc
0.500 0.000 0.500 Sc
0.000 0.500 0.500 Sc
0.602 0.750 0.205 Bi
0.398 0.250 0.795 Bi
0.103 0.250 0.206 Pb
0.897 0.750 0.794 Pb
0.249 0.750 0.499 C
0.751 0.250 0.501 C
```

## Properties
ΔE_f	-0.662	eV/atom
crystal system	orthorhombic
DFT total energy	-93.6	eV for the cell shown
DOS(E_F)	0.637	states/eV per atom

=====

Record 6
Here is an optimized crystal structure of Sc6BiPb2C from Alexandria via LeMat-Bulk. Energies are from PBE.

Geometry as POSCAR:
```
Sc6BiPb2C
1.0
-2.946 -0.288 -4.148
3.398 -3.097 -2.198
-4.609 -7.762 3.813
Sc Bi Pb C
6 1 2 1
Direct
0.500 0.000 0.000 Sc
0.500 0.000 0.500 Sc
0.000 0.500 0.000 Sc
0.000 0.500 0.500 Sc
0.500 0.500 0.715 Sc
0.500 0.500 0.285 Sc
0.500 0.500 0.000 Bi
0.000 0.000 0.742 Pb
0.000 0.000 0.258 Pb
0.500 0.500 0.500 C
```

## Properties
ΔE_f	-0.088	eV/atom
crystal system	tetragonal
DFT total energy	-59.4	eV for the cell shown
DOS(E_F)	0.906	states/eV per atom